# AlIr2Au

A PBEsol-optimized structure of AlIr2Au (meta-GGA SCAN, Alexandria).

Its symmetry is P4/mmm, No. 123. The density is 17.4 g/cm3. The formation energy is -6.93 kcal/mol of atoms. The value obtained for the calculated volume is 57.92 Å³/cell.

```
4
Lattice="3.9481 0.0000 0.0000 0.0000 3.9481 0.0000 0.0000 0.0000 3.7159" Properties=species:S:1:pos:R:3 pbc="T T T"
Al 0.0000 0.0000 0.0000
Ir 0.0000 1.9741 1.8579
Ir 1.9741 0.0000 1.8579
Au 1.9741 1.9741 0.0000
```



# AlIrAu2

A PBEsol-optimized structure of AlIrAu2 (meta-GGA SCAN, Alexandria).

Its symmetry is Cmmm, No. 65. The density is 16.1 g/cm3. The formation energy is 2.20 kcal/mol of atoms. The value obtained for the calculated volume is 63.18 Å³/cell.

```
4
Lattice="1.4016 -2.4548 0.0000 1.4016 2.4548 0.0000 0.0000 0.0000 9.1811" Properties=species:S:1:pos:R:3 pbc="T T T"
Al 0.0000 0.0000 0.0000
Ir 0.0000 0.0000 4.5906
Au 1.4016 0.0000 2.1957
Au 1.4016 0.0000 6.9854
```



# AlIr2Au

A PBEsol-optimized structure of AlIr2Au (meta-GGA SCAN, Alexandria).

Its symmetry is C2/m, No. 12. The density is 17.0 g/cm3. The formation energy is -3.30 kcal/mol of atoms. The value obtained for the calculated volume is 59.54 Å³/cell.

```
4
Lattice="2.6988 -4.5949 0.0000 2.6988 4.5949 0.0000 -1.3803 0.0000 2.4005" Properties=species:S:1:pos:R:3 pbc="T T T"
Al 0.0000 0.0000 0.0000
Ir 0.6593 2.2975 1.2003
Ir 0.6593 -2.2975 1.2003
Au 2.6988 0.0000 0.0000
```



# Al2IrRhAu

A PBEsol-optimized structure of Al2IrRhAu (meta-GGA SCAN, Alexandria).

Its symmetry is P4/mmm, No. 123. The density is 9.0 g/cm3. The formation energy is 24.09 kcal/mol of atoms. The value obtained for the calculated volume is 100.72 Å³/cell.

```
5
Lattice="4.5323 0.0000 0.0000 0.0000 4.5323 0.0000 0.0000 0.0000 4.9031" Properties=species:S:1:pos:R:3 pbc="T T T"
Al 0.0000 2.2662 0.0000
Al 2.2662 0.0000 0.0000
Ir 0.0000 0.0000 2.4516
Rh 2.2662 2.2662 2.4516
Au 0.0000 0.0000 0.0000
```



# K3AlAu

A PBEsol-optimized structure of K3AlAu (meta-GGA SCAN, Alexandria).

Its symmetry is Pm-3m, No. 221. The density is 2.5 g/cm3. The formation energy is 4.58 kcal/mol of atoms. The value obtained for the calculated volume is 228.07 Å³/cell.

```
5
Lattice="6.1097 0.0000 0.0000 0.0000 6.1097 0.0000 0.0000 0.0000 6.1097" Properties=species:S:1:pos:R:3 pbc="T T T"
K 0.0000 0.0000 3.0548
K 0.0000 3.0548 0.0000
K 3.0548 0.0000 0.0000
Al 3.0548 3.0548 3.0548
Au 0.0000 0.0000 0.0000
```



# KAl2Au

A PBEsol-optimized structure of KAl2Au (meta-GGA SCAN, Alexandria).

Its symmetry is Pmmm, No. 47. The density is 5.4 g/cm3. The formation energy is -3.19 kcal/mol of atoms. The value obtained for the calculated volume is 89.28 Å³/cell.

```
4
Lattice="3.2561 0.0000 0.0000 0.0000 3.2672 0.0000 0.0000 0.0000 8.3925" Properties=species:S:1:pos:R:3 pbc="T T T"
K 0.0000 0.0000 0.0000
Al 1.6281 1.6336 2.7121
Al 1.6281 1.6336 5.6804
Au 0.0000 0.0000 4.1963
```



Values for total magnetic moment, Bohr magnetons per cell, ordered as above
0.00 0.00 0.00 0.82 0.00 0.00